A plane-wave DFT calculation with PBE-GGA was carried out for a geometry-optimized LiZrCuGe structure.

a = 6.3899 Å, b = 6.3899 Å, c = 6.3899 Å
α = 90.00°, β = 90.00°, γ = 90.00°
Sites, in units of the cell vectors:
Li  0.0000  0.0000  0.0000
Li  0.0000  0.5000  0.5000
Li  0.5000  0.0000  0.5000
Li  0.5000  0.5000  0.0000
Zr  0.0000  0.0000  0.5000
Zr  0.0000  0.5000  0.0000
Zr  0.5000  0.0000  0.0000
Zr  0.5000  0.5000  0.5000
Cu  0.2500  0.2500  0.2500
Cu  0.2500  0.7500  0.7500
Cu  0.7500  0.2500  0.7500
Cu  0.7500  0.7500  0.2500
Ge  0.2500  0.2500  0.7500
Ge  0.2500  0.7500  0.2500
Ge  0.7500  0.2500  0.2500
Ge  0.7500  0.7500  0.7500

Output
- Formation energy: -0.315 eV/atom